[1]
## B2MoCl (SCAN)

Data for a crystal of B2MoCl relaxed with PBEsol.

It has space group Fm-3m (No. 225), with a = 5.614 Å, b = 5.614 Å, c = 5.614 Å, α = 90.00°, β = 90.00° and γ = 90.00°. Symmetry generates all atoms from B at (0.250, 0.250, 0.250), Mo at (0.000, 0.000, 0.000) and Cl at (0.000, 0.000, 0.500).

The value obtained for the total energy is -12.44 eV per atom. The value obtained for the formation energy from raw total energies is 1.987 eV/atom. For the density of states at the Fermi level, the calculation gives 0.5218 states/eV per atom.

=====

[2]
## BMoS2Cl (SCAN)

Data for a crystal of BMoS2Cl relaxed with PBEsol.

It has space group P4/mmm (No. 123), with a = 4.571 Å, b = 4.571 Å, c = 4.860 Å, α = 90.00°, β = 90.00° and γ = 90.00°. Symmetry generates all atoms from B at (0.000, 0.000, 0.000), Mo at (0.500, 0.500, 0.500), S at (0.000, 0.500, 0.500) and Cl at (0.500, 0.500, 0.000).

The value obtained for the total energy is -13.16 eV per atom. The value obtained for the formation energy from raw total energies is 0.749 eV/atom. For the density of states at the Fermi level, the calculation gives 0.7016 states/eV per atom.

=====

[3]
## ScB2MoCl (SCAN)

Data for a crystal of ScB2MoCl relaxed with PBEsol.

It has space group P4/mmm (No. 123), with a = 4.246 Å, b = 4.246 Å, c = 4.594 Å, α = 90.00°, β = 90.00° and γ = 90.00°. Symmetry generates all atoms from Sc at (0.000, 0.000, 0.000), B at (0.000, 0.500, 0.000), Mo at (0.500, 0.500, 0.500) and Cl at (0.000, 0.000, 0.500).

The value obtained for the total energy is -12.82 eV per atom. The value obtained for the formation energy from raw total energies is 1.574 eV/atom. For the density of states at the Fermi level, the calculation gives 0.5738 states/eV per atom.

=====

[4]
## Sr2BN2Cl (SCAN)

Data for a crystal of Sr2BN2Cl relaxed with PBEsol.

It has space group Pnma (No. 62), with a = 12.317 Å, b = 4.144 Å, c = 9.179 Å, α = 90.00°, β = 90.00° and γ = 90.00°. Symmetry generates all atoms from Sr at (0.087, 0.250, 0.119), Sr at (0.170, 0.250, 0.559), B at (0.166, 0.750, 0.829), N at (0.123, 0.750, 0.964), N at (0.215, 0.750, 0.698) and Cl at (0.063, 0.750, 0.356).

The value obtained for the total energy is -14.81 eV per atom. The value obtained for the formation energy from raw total energies is -1.724 eV/atom. For the density of states at the Fermi level, the calculation gives 0.0000 states/eV per atom.